# PBE-GGA LaPd7Pb2, optimized geometry
# Total magnetic moment   0.0 Bohr magnetons per cell
# Energy relative to the elements   -0.130 eV per atom
# Crystal system   orthorhombic
data_LaPd7Pb2
_cell_length_a 4.530
_cell_length_b 7.936
_cell_length_c 7.936
_cell_angle_alpha 124.31
_cell_angle_beta 90.00
_cell_angle_gamma 90.00
_space_group_name_H-M_alt 'P 1'
_space_group_IT_number 1
_space_group_name_Hall 'P 1'
loop_
_atom_site_label
_atom_site_type_symbol
_atom_site_fract_x
_atom_site_fract_y
_atom_site_fract_z
Pd1 Pd 0.500 0.714 0.924
Pd2 Pd 0.500 0.076 0.286
La1 La 0.000 0.000 0.000
Pd3 Pd 0.000 0.803 0.197
Pd4 Pd 0.000 0.197 0.803
Pd5 Pd 0.500 0.500 0.500
Pd6 Pd 0.500 0.924 0.714
Pb1 Pb 0.500 0.697 0.303
Pb2 Pb 0.500 0.303 0.697
Pd7 Pd 0.500 0.286 0.076